1.
Compound: ZrP2S2
Source: the Alexandria database
Functional: PBE-GGA
Structure: optimized geometry

Geometry as POSCAR:
```
ZrP2S2
1.0
-0.3932 -3.3536 -3.8710
4.9615 0.7137 -1.1223
1.1882 -3.5770 2.9783
P S Zr
2 2 1
Cartesian
2.4808 0.3569 -0.5612
-0.1966 -1.6768 -1.9355
2.8783 -3.1085 -1.0075
0.5941 -1.7885 1.4891
0.0000 0.0000 0.0000
```

Its energy above the most stable polymorph in this dataset is 499 meV/atom. As for the calculated volume: 127 Å³ per cell. The value obtained for the raw formation energy is 570 meV per atom.

***

2.
Compound: ZrPS4
Source: the Alexandria database
Functional: PBE-GGA
Structure: optimized geometry

Geometry as POSCAR:
```
ZrPS4
1.0
-0.6187 1.2155 -3.1894
-0.5678 -5.9081 -2.1415
-12.8380 -0.0289 2.4792
Zr P S
2 2 8
Cartesian
-6.4190 -0.0145 1.2396
-0.5932 -2.3463 -2.6654
-7.0122 -2.3608 -1.4258
0.0000 0.0000 0.0000
-5.4885 -0.6217 -1.0586
-2.1423 -0.5235 -3.5566
-8.5359 -4.0998 -1.7931
-11.8821 -4.1980 0.7049
-5.4743 -3.8734 -0.4144
-2.1058 -4.3954 -3.1530
-8.5502 -0.8481 -2.4373
-11.9187 -0.3261 0.3014
```

As for the calculated volume: 286 Å³ per cell. The value obtained for the raw formation energy is -662 meV per atom.

***

3.
Compound: Zr2PS
Source: the Alexandria database
Functional: PBE-GGA
Structure: optimized geometry

Geometry as POSCAR:
```
Zr2PS
1.0
0.0000 3.2509 3.2509
3.2509 0.0000 3.2509
3.2509 3.2509 0.0000
P S Zr
1 1 2
Cartesian
0.0000 0.0000 0.0000
3.2509 3.2509 3.2509
1.6254 1.6254 1.6254
4.8763 4.8763 4.8763
```

Its energy above the most stable polymorph in this dataset is 246 meV/atom. As for the calculated volume: 69 Å³ per cell. The value obtained for the raw formation energy is -1172 meV per atom.

***

4.
Compound: ZrP2S
Source: the Alexandria database
Functional: PBE-GGA
Structure: optimized geometry

Geometry as POSCAR:
```
ZrP2S
1.0
-3.3410 2.3837 -3.7308
-3.8215 -3.9127 0.9222
-6.0309 2.6609 2.9779
P S Zr
4 2 2
Cartesian
-3.9941 1.6093 -1.3833
-4.3932 -1.4256 0.7658
-7.2999 1.3293 1.2022
-10.6994 0.7508 -0.2460
-3.5812 -0.7645 -1.4043
-6.7168 -1.0082 1.2479
0.0000 0.0000 0.0000
-6.4765 2.1401 -1.0786
```

As for the calculated volume: 187 Å³ per cell. The value obtained for the raw formation energy is 162 meV per atom.

***

5.
Compound: Zr4PS5
Source: the Alexandria database
Functional: PBE-GGA
Structure: optimized geometry

Geometry as POSCAR:
```
Zr4PS5
1.0
-1.0263 -0.8677 3.4359
-4.6353 -5.1243 -2.6785
7.2640 -3.7620 -0.7611
Zr P S
4 1 5
Cartesian
0.2775 -7.5055 -1.8125
2.7186 -8.5016 0.6459
1.3249 -2.2484 1.8087
-1.1161 -1.2523 -0.6496
-0.5131 -0.4338 1.7179
0.8780 -6.7106 0.5484
3.1606 -4.0905 1.8918
-1.5581 -5.6635 -1.8956
-2.8308 -2.9960 0.3787
0.7244 -3.0434 -0.5522
```

As for the calculated volume: 214 Å³ per cell. The value obtained for the raw formation energy is -1510 meV per atom.

***

6.
Compound: Zr2P3S
Source: the Alexandria database
Functional: PBE-GGA
Structure: optimized geometry

Geometry as POSCAR:
```
Zr2P3S
1.0
3.6023 0.0000 0.0000
0.0000 3.6023 0.0000
0.0000 0.0000 7.8844
Zr P S
2 3 1
Cartesian
1.8012 1.8012 2.0959
0.0000 0.0000 5.7909
1.8012 0.0000 7.8767
0.0000 1.8012 7.8767
0.0000 0.0000 2.9977
1.8012 1.8012 4.8996
```

As for the calculated volume: 102 Å³ per cell. The value obtained for the raw formation energy is -1082 meV per atom.

***

7.
Compound: ZrP2S6
Source: the Alexandria database
Functional: PBE-GGA
Structure: optimized geometry

Geometry as POSCAR:
```
ZrP2S6
1.0
-3.2590 -1.7193 5.1026
-3.4143 -5.2868 -0.0804
3.4977 -6.0672 4.0714
Zr P S
1 2 6
Cartesian
-2.2235 -2.3360 1.6745
-1.8242 -10.1686 7.0538
-3.5726 -5.2422 3.7152
-1.1548 -8.2851 6.6414
0.0585 -8.4697 3.4580
0.9258 -5.8505 5.4651
-2.0236 -4.7956 2.4636
-3.2293 -4.6127 5.6261
-4.0906 -7.2146 3.6318
```

As for the calculated volume: 248 Å³ per cell. The value obtained for the raw formation energy is -652 meV per atom.

***

8.
Compound: ZrP2S8
Source: the Alexandria database
Functional: PBE-GGA
Structure: optimized geometry

Geometry as POSCAR:
```
ZrP2S8
1.0
-5.7278 3.7065 1.1110
-3.7375 -5.6507 -0.4173
2.4615 2.0056 5.9993
Zr P S
1 2 8
Cartesian
-2.8639 1.8532 0.5555
-6.3730 -0.0560 2.6335
-0.6309 0.1175 4.0594
-4.7153 2.7605 4.8517
-2.2885 -2.6991 1.8413
-1.2971 0.6954 2.2007
-5.7067 -0.6340 4.4923
-5.0624 1.2065 1.6737
-1.9414 -1.1451 5.0192
-0.0542 1.7081 5.2300
-6.9496 -1.6467 1.4630
```

As for the calculated volume: 276 Å³ per cell. The value obtained for the raw formation energy is -99 meV per atom.

***

9.
Compound: ZrP2S7
Source: the Alexandria database
Functional: PBE-GGA
Structure: optimized geometry

Geometry as POSCAR:
```
ZrP2S7
1.0
-16.4055 -1.2142 4.0152
-13.5831 -8.1195 -0.7768
-1.2615 -1.3614 8.6700
Zr P S
4 8 28
Cartesian
-26.7633 -8.4386 3.8482
-11.0378 -3.5689 2.3673
-4.4868 -2.2565 8.0602
-4.5872 -1.7787 3.5869
-15.2205 -3.2086 10.4466
-12.7089 -6.5650 2.0896
-10.2590 -2.0408 5.2157
-8.6867 -4.2283 0.1106
-6.9249 -1.1906 5.8770
-5.3795 -3.2354 0.7050
-18.5546 -4.0587 9.7852
-16.0161 -7.5579 1.4953
-16.5608 -4.0772 9.0389
-5.9357 -2.9960 5.8238
-2.3032 -1.4822 2.0564
-3.1383 -1.0392 5.8233
-22.0511 -5.1828 6.5821
-20.4531 -8.6355 3.1983
-17.0115 -8.1861 8.3033
-18.6095 -4.7334 11.6871
-20.0160 -4.7527 3.7872
-5.5093 -1.1916 0.9207
-17.7851 -7.2548 2.4282
-19.4968 -5.1143 8.3397
-10.9504 -6.3276 7.1860
-11.9680 -2.0554 6.2977
-11.7067 -5.8272 3.6842
-13.5115 -3.1940 9.3646
-10.4711 -3.7854 9.5196
-9.5249 -3.7865 4.5167
-28.5915 -9.5835 5.3659
-29.5377 -9.5824 10.3687
-9.0843 -5.5561 1.6336
-10.7208 -0.9515 3.5302
-12.3113 -5.2372 0.5666
-13.4972 -2.9365 3.4620
-22.5018 -9.2917 5.8465
-24.3733 -6.7510 12.0160
-19.5657 -8.2546 6.5458
-14.6892 -6.6179 2.8694
```

As for the calculated volume: 1061 Å³ per cell. The value obtained for the raw formation energy is -621 meV per atom.

***

10.
Compound: Zr2P2S
Source: the Alexandria database
Functional: PBE-GGA
Structure: optimized geometry

Geometry as POSCAR:
```
Zr2P2S
1.0
7.0610 0.0000 0.0000
0.0000 7.0610 0.0000
0.0000 0.0000 3.5825
P S Zr
4 2 4
Cartesian
0.8827 4.4132 1.7912
4.4132 6.1783 1.7912
6.1783 2.6478 1.7912
2.6478 0.8827 1.7912
0.0000 0.0000 0.0000
3.5305 3.5305 0.0000
2.3546 5.8851 0.0000
5.8851 4.7065 0.0000
4.7065 1.1760 0.0000
1.1760 2.3546 0.0000
```

As for the calculated volume: 179 Å³ per cell. The value obtained for the raw formation energy is -1176 meV per atom.

***

11.
Compound: Zr2PS
Source: the Alexandria database
Functional: PBE-GGA
Structure: optimized geometry

Geometry as POSCAR:
```
Zr2PS
1.0
3.6354 0.0000 0.0000
1.8177 3.1484 0.0000
1.8177 1.0495 6.4885
Zr P S
2 1 1
Cartesian
1.8177 1.0495 4.9809
1.8177 1.0495 1.4819
5.4531 3.1484 6.4875
3.6354 2.0989 3.2709
```

Its energy above the most stable polymorph in this dataset is 0 meV/atom. As for the calculated volume: 74 Å³ per cell. The value obtained for the raw formation energy is -1418 meV per atom.

***

12.
Compound: Zr2PS
Source: the Alexandria database
Functional: PBE-GGA
Structure: optimized geometry

Geometry as POSCAR:
```
Zr2PS
1.0
3.7344 0.0000 0.0000
1.8672 3.2341 0.0000
1.8672 1.0780 6.2191
P S Zr
1 1 2
Cartesian
0.0000 0.0000 0.0000
3.7344 2.1561 3.1095
1.8672 1.0780 1.3696
5.6016 3.2341 4.8495
```

Its energy above the most stable polymorph in this dataset is 19 meV/atom. As for the calculated volume: 75 Å³ per cell. The value obtained for the raw formation energy is -1399 meV per atom.